VASP calculation (PBE) on a geometry-optimized Te2N2Cl structure.

abc: 3.732 4.004 7.208
angles: 87.05 86.63 69.18
Atoms (fractional coordinates):
Te  0.074  0.215  0.182
Te  0.926  0.785  0.818
N  0.117  0.222  0.896
N  0.883  0.778  0.104
Cl  0.500  0.500  0.500

Summary:
* formation energy (no corrections): 0.56 eV per atom
* energy relative to the lowest polymorph listed for this composition: 0 meV/atom
* E: -22.00 eV per cell

VASP calculation (PBE) on a geometry-optimized TeNCl2 structure.

abc: 4.879 4.879 4.879
angles: 60.00 60.00 60.00
Atoms (fractional coordinates):
Te  0.000  0.000  0.000
N  0.500  0.500  0.500
Cl  0.250  0.250  0.250
Cl  0.750  0.750  0.750

Summary:
* formation energy (no corrections): 1.38 eV per atom
* energy relative to the lowest polymorph listed for this composition: 808 meV/atom
* E: -9.65 eV per cell

VASP calculation (PBE) on a geometry-optimized TeNCl2 structure.

abc: 10.949 10.949 10.949
angles: 18.87 18.87 18.87
Atoms (fractional coordinates):
Te  0.000  0.000  0.000
N  0.500  0.500  0.500
Cl  0.076  0.076  0.076
Cl  0.924  0.924  0.924

Summary:
* formation energy (no corrections): 1.10 eV per atom
* energy relative to the lowest polymorph listed for this composition: 529 meV/atom
* E: -10.76 eV per cell

Question: Among the records above, which one has the highest formation energy (no corrections)?
Answer: number 2